First-principles (PBE) data for crystalline BaCd2Sb at its relaxed geometry, as listed in the Alexandria database.

Calculated values
* size of the total moment: 0.00 Bohr magnetons per cell
* DFT total energy: -8.86 eV per cell
* ΔE_f (raw): -0.25 eV per atom
* theoretical density: 6.35 Mg/m³
* D(E_F): 3.1 states/eV/cell
* crystal system: tetragonal

a b c (Å): 4.1986 4.1986 7.1823
angles (deg): 90.00 90.00 90.00
Closest atoms and distances in Å follow each position.
Space group P4/mmm (No. 123)
Symmetry-distinct sites (fractional):
Ba 0.0000 0.0000 0.0000 [1 per cell]  2 Sb 3.59, 8 Cd 3.64
Cd 0.5000 0.5000 0.2938 [2 per cell]  1 Cd 2.96
Sb 0.0000 0.0000 0.5000 [1 per cell]  8 Cd 3.32, 2 Ba 3.59